Version w
Entry from Alexandria via LeMat-Bulk: a PBEsol-optimized structure of ScOsPb2 (meta-GGA SCAN).

a b c (Å): 9.1036 3.3861 5.5001
angles (deg): 90.00 101.81 90.00
Space group C2/m (No. 12)
One atom of each set of equivalent atoms:
1 Sc 0.0000 0.0000 0.0000 (multiplicity 2)
2 Os 0.0000 0.5000 0.5000 (multiplicity 2)
3 Pb 0.2393 0.0000 0.7302 (multiplicity 4)



Version x
Entry from Alexandria via LeMat-Bulk: a PBEsol-optimized structure of ScOsPb2 (meta-GGA SCAN).

a b c (Å): 3.3480 5.2443 9.7159
angles (deg): 90.00 90.00 90.00
Space group Immm (No. 71)
One atom of each set of equivalent atoms:
1 Sc 0.0000 0.0000 0.0000 (multiplicity 2)
2 Os 0.0000 0.0000 0.5000 (multiplicity 2)
3 Pb 0.0000 0.5000 0.2269 (multiplicity 4)



Which of them is the least stable? Correct choice: version x.



Version w
Entry from Alexandria via LeMat-Bulk: a PBEsol-optimized structure of Os2PbSe (meta-GGA SCAN).

a b c (Å): 8.3409 3.0082 5.6557
angles (deg): 90.00 102.24 90.00
Space group C2/m (No. 12)
One atom of each set of equivalent atoms:
1 Os 0.2465 0.0000 0.1958 (multiplicity 4)
2 Pb 0.0000 0.0000 0.5000 (multiplicity 2)
3 Se 0.0000 0.5000 0.0000 (multiplicity 2)



Version x
Entry from Alexandria via LeMat-Bulk: a PBEsol-optimized structure of Os2PbSe (meta-GGA SCAN).

a b c (Å): 2.9726 4.5259 5.1297
angles (deg): 90.00 90.00 90.00
Space group Pmmm (No. 47)
One atom of each set of equivalent atoms:
1 Os 0.0000 0.0000 0.0000 (multiplicity 1)
2 Os 0.5000 0.0000 0.5000 (multiplicity 1)
3 Pb 0.0000 0.5000 0.5000 (multiplicity 1)
4 Se 0.5000 0.5000 0.0000 (multiplicity 1)



Which of them is the least stable? Correct choice: version x.



Version w
Entry from Alexandria via LeMat-Bulk: a PBEsol-optimized structure of ZrOsPb2 (meta-GGA SCAN).

a b c (Å): 3.2930 5.1539 9.9780
angles (deg): 90.00 90.00 90.00
Space group Immm (No. 71)
One atom of each set of equivalent atoms:
1 Zr 0.0000 0.0000 0.0000 (multiplicity 2)
2 Os 0.0000 0.0000 0.5000 (multiplicity 2)
3 Pb 0.0000 0.5000 0.2240 (multiplicity 4)



Version x
Entry from Alexandria via LeMat-Bulk: a PBEsol-optimized structure of ZrOsPb2 (meta-GGA SCAN).

a b c (Å): 3.2905 5.5224 9.3669
angles (deg): 90.00 90.00 90.00
Space group Cmmm (No. 65)
One atom of each set of equivalent atoms:
1 Zr 0.0000 0.0000 0.0000 (multiplicity 2)
2 Os 0.0000 0.0000 0.5000 (multiplicity 2)
3 Pb 0.0000 0.5000 0.2683 (multiplicity 4)



Which of them is the least stable? Correct choice: version x.



Version w
Entry from Alexandria via LeMat-Bulk: a PBEsol-optimized structure of Os2Pt (meta-GGA SCAN).

a b c (Å): 2.7369 14.3584 4.3634
angles (deg): 90.00 90.00 90.00
Space group Cmcm (No. 63)
One atom of each set of equivalent atoms:
1 Os 0.0000 0.0517 0.2500 (multiplicity 4)
2 Os 0.0000 0.3930 0.2500 (multiplicity 4)
3 Pt 0.0000 0.2816 0.7500 (multiplicity 4)



Version x
Entry from Alexandria via LeMat-Bulk: a PBEsol-optimized structure of Os2Pt (meta-GGA SCAN).

a b c (Å): 10.0797 2.7261 6.4237
angles (deg): 90.00 104.00 90.00
Space group C2/m (No. 12)
One atom of each set of equivalent atoms:
1 Os 0.0289 0.0000 0.3171 (multiplicity 4)
2 Os 0.1914 0.5000 0.6321 (multiplicity 4)
3 Pt 0.1369 0.5000 0.0298 (multiplicity 4)



Which of them is the least stable? Correct choice: version x.



Version w
Entry from Alexandria via LeMat-Bulk: a PBEsol-optimized structure of Os5Pt (meta-GGA SCAN).

a b c (Å): 9.9054 2.7365 6.4208
angles (deg): 90.00 103.91 90.00
Space group Cm (No. 8)
One atom of each set of equivalent atoms:
1 Os 0.0000 0.0000 0.0000 (multiplicity 2)
2 Os 0.0551 0.0000 0.6185 (multiplicity 2)
3 Os 0.1606 0.5000 0.3391 (multiplicity 2)
4 Os 0.2171 0.5000 0.9409 (multiplicity 2)
5 Os 0.3307 0.0000 0.6704 (multiplicity 2)
6 Pt 0.3849 0.0000 0.2786 (multiplicity 2)



Version x
Entry from Alexandria via LeMat-Bulk: a PBEsol-optimized structure of Os5Pt (meta-GGA SCAN).

a b c (Å): 4.3453 2.7383 14.2503
angles (deg): 90.00 90.00 90.00
Space group Amm2 (No. 38)
One atom of each set of equivalent atoms:
1 Os 0.0000 0.0000 0.0000 (multiplicity 2)
2 Os 0.0000 0.0000 0.3308 (multiplicity 2)
3 Os 0.0000 0.0000 0.6650 (multiplicity 2)
4 Os 0.5000 0.0000 0.1125 (multiplicity 2)
5 Os 0.5000 0.0000 0.7722 (multiplicity 2)
6 Pt 0.5000 0.0000 0.4423 (multiplicity 2)



Which of them is the least stable? Correct choice: version w.



Version w
Entry from Alexandria via LeMat-Bulk: a PBEsol-optimized structure of OsPt2Rh (meta-GGA SCAN).

a b c (Å): 2.7338 2.7338 26.5199
angles (deg): 90.00 90.00 120.00
Space group R-3m (No. 166, hexagonal axes)
One atom of each set of equivalent atoms:
1 Os 0.0000 0.0000 0.0000 (multiplicity 3)
2 Pt 0.0000 0.0000 0.2507 (multiplicity 6)
3 Rh 0.0000 0.0000 0.5000 (multiplicity 3)



Version x
Entry from Alexandria via LeMat-Bulk: a PBEsol-optimized structure of OsPt2Rh (meta-GGA SCAN).

a b c (Å): 6.1603 6.1603 6.1603
angles (deg): 90.00 90.00 90.00
Space group Fm-3m (No. 225)
One atom of each set of equivalent atoms:
1 Os 0.0000 0.0000 0.0000 (multiplicity 4)
2 Pt 0.2500 0.2500 0.2500 (multiplicity 8)
3 Rh 0.0000 0.0000 0.5000 (multiplicity 4)



Which of them is the least stable? Correct choice: version x.



Version w
Entry from Alexandria via LeMat-Bulk: a PBEsol-optimized structure of OsPt2Rh (meta-GGA SCAN).

a b c (Å): 2.7247 3.8678 5.4158
angles (deg): 90.00 90.00 90.00
Space group Pmmm (No. 47)
One atom of each set of equivalent atoms:
1 Os 0.0000 0.0000 0.0000 (multiplicity 1)
2 Pt 0.5000 0.5000 0.2458 (multiplicity 2)
3 Rh 0.0000 0.0000 0.5000 (multiplicity 1)



Version x
Entry from Alexandria via LeMat-Bulk: a PBEsol-optimized structure of OsPt2Rh (meta-GGA SCAN).

a b c (Å): 9.0236 2.7161 4.7298
angles (deg): 90.00 99.75 90.00
Space group Cm (No. 8)
One atom of each set of equivalent atoms:
1 Os 0.0000 0.0000 0.0000 (multiplicity 2)
2 Pt 0.2511 0.0000 0.7498 (multiplicity 2)
3 Pt 0.4966 0.0000 0.4918 (multiplicity 2)
4 Rh 0.2434 0.5000 0.2328 (multiplicity 2)



Version y
Entry from Alexandria via LeMat-Bulk: a PBEsol-optimized structure of OsPt2Rh (meta-GGA SCAN).

a b c (Å): 2.7079 2.7079 7.8040
angles (deg): 90.00 90.00 90.00
Space group P4mm (No. 99)
One atom of each set of equivalent atoms:
1 Os 0.0000 0.0000 0.0000 (multiplicity 1)
2 Pt 0.0000 0.0000 0.5131 (multiplicity 1)
3 Pt 0.5000 0.5000 0.2479 (multiplicity 1)
4 Rh 0.5000 0.5000 0.7704 (multiplicity 1)



Which of them is the least stable? Correct choice: version w.



Version w
Entry from Alexandria via LeMat-Bulk: a PBEsol-optimized structure of OsPt2Rh (meta-GGA SCAN).

a b c (Å): 8.9981 2.7199 4.7373
angles (deg): 90.00 99.84 90.00
Space group C2/m (No. 12)
One atom of each set of equivalent atoms:
1 Os 0.0000 0.0000 0.0000 (multiplicity 2)
2 Pt 0.2476 0.5000 0.2455 (multiplicity 4)
3 Rh 0.0000 0.5000 0.5000 (multiplicity 2)



Version x
Entry from Alexandria via LeMat-Bulk: a PBEsol-optimized structure of OsPt2Rh (meta-GGA SCAN).

a b c (Å): 2.7220 2.7220 7.7140
angles (deg): 90.00 90.00 90.00
Space group P4/mmm (No. 123)
One atom of each set of equivalent atoms:
1 Os 0.0000 0.0000 0.0000 (multiplicity 1)
2 Pt 0.5000 0.5000 0.2461 (multiplicity 2)
3 Rh 0.0000 0.0000 0.5000 (multiplicity 1)



Which of them is the least stable? Correct choice: version w.